SbN2F: relaxed, PBE.

Summary:
The value obtained for the formation energy without anion corrections is 1.063 eV/atom.

Cell lengths 5.4588, 5.4588, 5.8553 Å; angles 62.22, 62.22, 90.00 degrees
With the nearest neighbours (Å) after each atom.
Fractional positions:
1 N 0.6874 0.1250 0.2500  2 Sb 2.03
2 N 0.3750 0.3126 0.7500  2 Sb 2.03
3 N 0.8750 0.9374 0.7500  2 Sb 2.03
4 Sb 0.7500 0.2500 0.5000  4 N 2.03
5 F 0.5000 0.5000 0.0000  4 N 2.45
6 F 0.2500 0.7500 0.5000  4 N 2.45
7 N 0.0626 0.6250 0.2500  2 Sb 2.03
8 Sb 0.0000 0.0000 0.0000  4 N 2.03

***

SbNF3: relaxed, PBE.

Summary:
The value obtained for the formation energy without anion corrections is -1.836 eV/atom.

Cell lengths 5.7040, 10.5230, 10.5230 Å; angles 47.09, 78.19, 78.19 degrees
With the nearest neighbours (Å) after each atom.
Fractional positions:
1 F 0.6608 0.3646 0.3938  1 Sb 1.98
2 Sb 0.3706 0.5456 0.1466  3 F 1.94-1.98
3 F 0.8392 0.6062 0.6354  1 Sb 1.98
4 Sb 0.8706 0.1466 0.5456  3 F 1.94-1.98
5 F 0.4199 0.3573 0.1427  1 Sb 1.97
6 F 0.1608 0.3938 0.3646  1 Sb 1.98
7 F 0.5841 0.0229 0.6527  1 Sb 1.94
8 N 0.7500 0.9248 0.0752  1 N 1.11
9 F 0.9159 0.3473 0.9771  1 Sb 1.94
10 Sb 0.1294 0.8534 0.4544  3 F 1.94-1.98
11 F 0.9199 0.1427 0.3573  1 Sb 1.97
12 F 0.3392 0.6354 0.6062  1 Sb 1.98
13 F 0.4159 0.9771 0.3473  1 Sb 1.94
14 F 0.0841 0.6527 0.0229  1 Sb 1.94
15 F 0.0801 0.8573 0.6427  1 Sb 1.97
16 F 0.5801 0.6427 0.8573  1 Sb 1.97
17 N 0.2500 0.0752 0.9248  1 N 1.11
18 N 0.7500 0.7924 0.2076  1 N 1.11
19 Sb 0.6294 0.4544 0.8534  3 F 1.94-1.98
20 N 0.2500 0.2076 0.7924  1 N 1.11

***

SbNF2: relaxed, PBE.

Summary:
The value obtained for the formation energy without anion corrections is -0.024 eV/atom.

Cell lengths 4.1153, 4.1153, 4.1153 Å; angles 60.00, 60.00, 60.00 degrees
With the nearest neighbours (Å) after each atom.
Fractional positions:
1 N 0.0000 0.0000 0.0000  8 F 2.52
2 F 0.7500 0.7500 0.7500  4 Sb 2.52, 4 N 2.52
3 Sb 0.5000 0.5000 0.5000  8 F 2.52
4 F 0.2500 0.2500 0.2500  4 N 2.52, 4 Sb 2.52

***

SbNF3: relaxed, PBE.

Summary:
The value obtained for the formation energy without anion corrections is -0.788 eV/atom.

Cell lengths 4.4370, 4.4370, 4.4370 Å; angles 90.00, 90.00, 90.00 degrees
With the nearest neighbours (Å) after each atom.
Fractional positions:
1 Sb 0.0000 0.0000 0.0000  6 F 2.22
2 F 0.0000 0.0000 0.5000  2 Sb 2.22
3 F 0.5000 0.0000 0.0000  2 Sb 2.22
4 N 0.5000 0.5000 0.5000  12 F 3.14
5 F 0.0000 0.5000 0.0000  2 Sb 2.22

***

ScSbNF2: relaxed, PBE.

Summary:
The value obtained for the formation energy without anion corrections is -0.691 eV/atom.

Cell lengths 4.4187, 4.4187, 4.3679 Å; angles 90.00, 90.00, 90.00 degrees
With the nearest neighbours (Å) after each atom.
Fractional positions:
1 F 0.5000 0.0000 0.0000  2 Sb 2.21
2 N 0.0000 0.0000 0.5000  2 Sb 2.18
3 F 0.0000 0.5000 0.0000  2 Sb 2.21
4 Sb 0.0000 0.0000 0.0000  2 N 2.18, 4 F 2.21
5 Sc 0.5000 0.5000 0.5000  8 F 3.11, 4 N 3.12

***

ScSbNF2: relaxed, PBE.

Summary:
The value obtained for the formation energy without anion corrections is -1.610 eV/atom.

Cell lengths 4.0064, 4.0064, 4.6383 Å; angles 90.00, 90.00, 90.00 degrees
With the nearest neighbours (Å) after each atom.
Fractional positions:
1 Sb 0.5000 0.5000 0.5000  4 N 2.83, 8 F 3.06
2 F 0.5000 0.0000 0.0000  2 Sc 2.00
3 Sc 0.0000 0.0000 0.0000  4 F 2.00
4 N 0.0000 0.0000 0.5000  2 Sc 2.32
5 F 0.0000 0.5000 0.0000  2 Sc 2.00

***

SiSbNF2: relaxed, PBE.

Summary:
The value obtained for the formation energy without anion corrections is -0.145 eV/atom.

Cell lengths 4.4009, 4.4009, 4.1894 Å; angles 90.00, 90.00, 90.00 degrees
With the nearest neighbours (Å) after each atom.
Fractional positions:
1 F 0.5000 0.0000 0.0000  2 Sb 2.20
2 F 0.0000 0.5000 0.0000  2 Sb 2.20
3 Sb 0.0000 0.0000 0.0000  2 N 2.09, 4 F 2.20
4 N 0.0000 0.0000 0.5000  2 Sb 2.09
5 Si 0.5000 0.5000 0.5000  8 F 3.04, 4 N 3.11

***

SiSbNF2: relaxed, PBE.

Summary:
The value obtained for the formation energy without anion corrections is -0.701 eV/atom.

Cell lengths 4.5580, 4.5580, 3.2671 Å; angles 90.00, 90.00, 90.00 degrees
With the nearest neighbours (Å) after each atom.
Fractional positions:
1 Sb 0.5000 0.5000 0.5000  8 F 2.80
2 Si 0.0000 0.0000 0.0000  2 N 1.63
3 F 0.0000 0.5000 0.0000  2 Si 2.28
4 F 0.5000 0.0000 0.0000  2 Si 2.28
5 N 0.0000 0.0000 0.5000  2 Si 1.63

***

SnSbN2F: relaxed, PBE.

Summary:
The value obtained for the formation energy without anion corrections is 0.283 eV/atom.

Cell lengths 4.2157, 4.2157, 4.0653 Å; angles 90.00, 90.00, 90.00 degrees
With the nearest neighbours (Å) after each atom.
Fractional positions:
1 Sb 0.5000 0.5000 0.5000  8 N 2.93, 4 F 2.98
2 N 0.5000 0.0000 0.0000  2 Sn 2.11
3 Sn 0.0000 0.0000 0.0000  2 F 2.03, 4 N 2.11
4 N 0.0000 0.5000 0.0000  2 Sn 2.11
5 F 0.0000 0.0000 0.5000  2 Sn 2.03

***

SnSbN2F: relaxed, PBE.

Summary:
The value obtained for the formation energy without anion corrections is 0.202 eV/atom.

Cell lengths 4.1679, 4.1679, 4.2555 Å; angles 90.00, 90.00, 90.00 degrees
With the nearest neighbours (Å) after each atom.
Fractional positions:
1 N 0.5000 0.0000 0.0000  2 Sb 2.08
2 N 0.0000 0.5000 0.0000  2 Sb 2.08
3 Sb 0.0000 0.0000 0.0000  4 N 2.08, 2 F 2.13
4 Sn 0.5000 0.5000 0.5000  4 F 2.95, 8 N 2.98
5 F 0.0000 0.0000 0.5000  2 Sb 2.13

***

SrSbN2F: relaxed, PBE.

Summary:
The value obtained for the formation energy without anion corrections is 0.559 eV/atom.

Cell lengths 4.9131, 4.9131, 4.4343 Å; angles 90.00, 90.00, 90.00 degrees
With the nearest neighbours (Å) after each atom.
Fractional positions:
1 Sb 0.5000 0.5000 0.5000  8 N 3.31, 4 F 3.47
2 N 0.5000 0.0000 0.0000  2 Sr 2.46
3 N 0.0000 0.5000 0.0000  2 Sr 2.46
4 Sr 0.0000 0.0000 0.0000  2 F 2.22, 4 N 2.46
5 F 0.0000 0.0000 0.5000  2 Sr 2.22

***

SrSbN2F: relaxed, PBE.

Summary:
The value obtained for the formation energy without anion corrections is -0.631 eV/atom.

Cell lengths 4.1521, 4.1521, 4.3987 Å; angles 90.00, 90.00, 90.00 degrees
With the nearest neighbours (Å) after each atom.
Fractional positions:
1 Sr 0.5000 0.5000 0.5000  4 F 2.94, 8 N 3.02
2 N 0.0000 0.5000 0.0000  2 Sb 2.08
3 Sb 0.0000 0.0000 0.0000  4 N 2.08, 2 F 2.20
4 F 0.0000 0.0000 0.5000  2 Sb 2.20
5 N 0.5000 0.0000 0.0000  2 Sb 2.08

***

Ta2SbNF: relaxed, PBE.

Summary:
The value obtained for the formation energy without anion corrections is 1.190 eV/atom.

Cell lengths 4.1305, 4.1305, 5.0802 Å; angles 90.00, 90.00, 90.00 degrees
With the nearest neighbours (Å) after each atom.
Fractional positions:
1 F 0.0000 0.0000 0.0000  4 Ta 2.07
2 Sb 0.0000 0.0000 0.5000  2 F 2.54
3 Ta 0.5000 0.0000 0.0000  2 F 2.07
4 N 0.5000 0.5000 0.5000  4 Sb 2.92
5 Ta 0.0000 0.5000 0.0000  2 F 2.07

***

TaSbN2F: relaxed, PBE.

Summary:
The value obtained for the formation energy without anion corrections is -0.453 eV/atom.

Cell lengths 4.1490, 4.1490, 4.0608 Å; angles 90.00, 90.00, 90.00 degrees
With the nearest neighbours (Å) after each atom.
Fractional positions:
1 F 0.0000 0.0000 0.5000  2 Ta 2.03
2 N 0.0000 0.5000 0.0000  2 Ta 2.07
3 N 0.5000 0.0000 0.0000  2 Ta 2.07
4 Sb 0.5000 0.5000 0.5000  8 N 2.90, 4 F 2.93
5 Ta 0.0000 0.0000 0.0000  2 F 2.03, 4 N 2.07

***

TaSbN2F: relaxed, PBE.

Summary:
The value obtained for the formation energy without anion corrections is 0.878 eV/atom.

Cell lengths 4.1711, 4.1711, 3.9968 Å; angles 90.00, 90.00, 90.00 degrees
With the nearest neighbours (Å) after each atom.
Fractional positions:
1 F 0.0000 0.0000 0.5000  2 Sb 2.00
2 N 0.5000 0.0000 0.0000  2 Sb 2.09
3 N 0.0000 0.5000 0.0000  2 Sb 2.09
4 Sb 0.0000 0.0000 0.0000  2 F 2.00, 4 N 2.09
5 Ta 0.5000 0.5000 0.5000  8 N 2.89, 4 F 2.95

***

TcSbNF2: relaxed, PBE.

Summary:
The value obtained for the formation energy without anion corrections is 0.183 eV/atom.

Cell lengths 4.4285, 4.4285, 4.2259 Å; angles 90.00, 90.00, 90.00 degrees
With the nearest neighbours (Å) after each atom.
Fractional positions:
1 F 0.0000 0.5000 0.0000  2 Sb 2.21
2 F 0.5000 0.0000 0.0000  2 Sb 2.21
3 N 0.0000 0.0000 0.5000  2 Sb 2.11
4 Tc 0.5000 0.5000 0.5000  8 F 3.06, 4 N 3.13
5 Sb 0.0000 0.0000 0.0000  2 N 2.11, 4 F 2.21

***

TcSbN2F: relaxed, PBE.

Summary:
The value obtained for the formation energy without anion corrections is 0.930 eV/atom.

Cell lengths 4.1253, 4.1253, 4.1343 Å; angles 90.00, 90.00, 90.00 degrees
With the nearest neighbours (Å) after each atom.
Fractional positions:
1 N 0.5000 0.0000 0.0000  2 Sb 2.06
2 N 0.0000 0.5000 0.0000  2 Sb 2.06
3 Sb 0.0000 0.0000 0.0000  4 N 2.06, 2 F 2.07
4 F 0.0000 0.0000 0.5000  2 Sb 2.07
5 Tc 0.5000 0.5000 0.5000  4 F 2.92, 8 N 2.92

***

TcSbN2F: relaxed, PBE.

Summary:
The value obtained for the formation energy without anion corrections is 0.185 eV/atom.

Cell lengths 3.9561, 3.9561, 4.1778 Å; angles 90.00, 90.00, 90.00 degrees
With the nearest neighbours (Å) after each atom.
Fractional positions:
1 N 0.5000 0.0000 0.0000  2 Tc 1.98
2 Sb 0.5000 0.5000 0.5000  4 F 2.80, 8 N 2.88
3 F 0.0000 0.0000 0.5000  2 Tc 2.09
4 Tc 0.0000 0.0000 0.0000  4 N 1.98, 2 F 2.09
5 N 0.0000 0.5000 0.0000  2 Tc 1.98

***

TcSbNF2: relaxed, PBE.

Summary:
The value obtained for the formation energy without anion corrections is -0.359 eV/atom.

Cell lengths 4.3329, 4.3329, 3.8209 Å; angles 90.00, 90.00, 90.00 degrees
With the nearest neighbours (Å) after each atom.
Fractional positions:
1 F 0.0000 0.5000 0.0000  2 Tc 2.17
2 Tc 0.0000 0.0000 0.0000  2 N 1.91
3 F 0.5000 0.0000 0.0000  2 Tc 2.17
4 Sb 0.5000 0.5000 0.5000  8 F 2.89, 4 N 3.06
5 N 0.0000 0.0000 0.5000  2 Tc 1.91

***

TcSbN2F: relaxed, PBE.

Summary:
The value obtained for the formation energy without anion corrections is 0.105 eV/atom.

Cell lengths 3.7824, 5.5221, 3.7824 Å; angles 90.00, 90.00, 90.00 degrees
With the nearest neighbours (Å) after each atom.
Fractional positions:
1 N 0.5000 0.0000 0.0000  2 Tc 1.89
2 Sb 0.0000 0.5000 0.0000  4 F 2.67, 2 Tc 2.76
3 Tc 0.0000 0.0000 0.0000  4 N 1.89
4 F 0.5000 0.5000 0.5000  4 Sb 2.67
5 N 0.0000 0.0000 0.5000  2 Tc 1.89

***

SbTe2NF: relaxed, PBE.

Summary:
The value obtained for the formation energy without anion corrections is 0.380 eV/atom.

Cell lengths 4.6576, 4.6576, 4.8320 Å; angles 90.00, 90.00, 90.00 degrees
With the nearest neighbours (Å) after each atom.
Fractional positions:
1 N 0.0000 0.0000 0.0000  4 Te 2.33, 2 Sb 2.42
2 Te 0.5000 0.0000 0.0000  2 N 2.33
3 Te 0.0000 0.5000 0.0000  2 N 2.33
4 Sb 0.0000 0.0000 0.5000  2 N 2.42
5 F 0.5000 0.5000 0.5000  4 Sb 3.29, 8 Te 3.36

***

SbTeNF2: relaxed, PBE.

Summary:
The value obtained for the formation energy without anion corrections is -0.008 eV/atom.

Cell lengths 4.5438, 4.5438, 4.2631 Å; angles 90.00, 90.00, 90.00 degrees
With the nearest neighbours (Å) after each atom.
Fractional positions:
1 Sb 0.5000 0.5000 0.5000  8 F 3.12, 4 N 3.21
2 F 0.0000 0.5000 0.0000  2 Te 2.27
3 F 0.5000 0.0000 0.0000  2 Te 2.27
4 Te 0.0000 0.0000 0.0000  2 N 2.13, 4 F 2.27
5 N 0.0000 0.0000 0.5000  2 Te 2.13

***

SbTe2NF: relaxed, PBE.

Summary:
The value obtained for the formation energy without anion corrections is 0.989 eV/atom.

Cell lengths 4.8813, 4.8813, 4.3730 Å; angles 90.00, 90.00, 90.00 degrees
With the nearest neighbours (Å) after each atom.
Fractional positions:
1 F 0.0000 0.0000 0.0000  2 N 2.19, 4 Te 2.44
2 Sb 0.5000 0.5000 0.5000  8 Te 3.28, 4 N 3.45
3 N 0.0000 0.0000 0.5000  2 F 2.19
4 Te 0.0000 0.5000 0.0000  2 F 2.44
5 Te 0.5000 0.0000 0.0000  2 F 2.44

***

SbTeN2F: relaxed, PBE.

Summary:
The value obtained for the formation energy without anion corrections is 1.027 eV/atom.

Cell lengths 3.9241, 3.9241, 6.3761 Å; angles 90.00, 90.00, 90.00 degrees
With the nearest neighbours (Å) after each atom.
Fractional positions:
1 N 0.5000 0.0000 0.0000  2 Sb 1.96
2 Te 0.0000 0.0000 0.5000  4 F 2.77
3 Sb 0.0000 0.0000 0.0000  4 N 1.96
4 F 0.5000 0.5000 0.5000  4 Te 2.77
5 N 0.0000 0.5000 0.0000  2 Sb 1.96

***

SbTeN2F: relaxed, PBE.

Summary:
The value obtained for the formation energy without anion corrections is 0.735 eV/atom.

Cell lengths 4.2898, 4.2898, 4.2267 Å; angles 90.00, 90.00, 90.00 degrees
With the nearest neighbours (Å) after each atom.
Fractional positions:
1 F 0.0000 0.0000 0.5000  2 Te 2.11
2 Te 0.0000 0.0000 0.0000  2 F 2.11, 4 N 2.14
3 Sb 0.5000 0.5000 0.5000  8 N 3.01, 4 F 3.03
4 N 0.0000 0.5000 0.0000  2 Te 2.14
5 N 0.5000 0.0000 0.0000  2 Te 2.14

***

Sb2TeNF: relaxed, PBE.

Summary:
The value obtained for the formation energy without anion corrections is 0.332 eV/atom.

Cell lengths 4.7637, 4.7637, 4.6460 Å; angles 90.00, 90.00, 90.00 degrees
With the nearest neighbours (Å) after each atom.
Fractional positions:
1 Sb 0.5000 0.0000 0.0000  2 N 2.38
2 N 0.0000 0.0000 0.0000  2 Te 2.32, 4 Sb 2.38
3 F 0.5000 0.5000 0.5000  8 Sb 3.33, 4 Te 3.37
4 Sb 0.0000 0.5000 0.0000  2 N 2.38
5 Te 0.0000 0.0000 0.5000  2 N 2.32

***

SbTeNF2: relaxed, PBE.

Summary:
The value obtained for the formation energy without anion corrections is -0.284 eV/atom.

Cell lengths 4.2891, 4.2891, 4.7206 Å; angles 90.00, 90.00, 90.00 degrees
With the nearest neighbours (Å) after each atom.
Fractional positions:
1 Sb 0.0000 0.0000 0.0000  4 F 2.14, 2 N 2.36
2 F 0.0000 0.5000 0.0000  2 Sb 2.14
3 Te 0.5000 0.5000 0.5000  4 N 3.03, 8 F 3.19
4 F 0.5000 0.0000 0.0000  2 Sb 2.14
5 N 0.0000 0.0000 0.5000  2 Sb 2.36

***

SbTeN2F: relaxed, PBE.

Summary:
The value obtained for the formation energy without anion corrections is 1.671 eV/atom.

Cell lengths 4.6432, 4.6432, 4.2154 Å; angles 90.00, 90.00, 90.00 degrees
With the nearest neighbours (Å) after each atom.
Fractional positions:
1 Te 0.0000 0.0000 0.5000  2 F 2.11
2 F 0.0000 0.0000 0.0000  2 Te 2.11, 4 N 2.32
3 Sb 0.5000 0.5000 0.5000  8 N 3.14, 4 Te 3.28
4 N 0.0000 0.5000 0.0000  2 F 2.32
5 N 0.5000 0.0000 0.0000  2 F 2.32